VASP calculation (GGA-PBE) on a relaxed structure of La2Tb2ErTm.

Cell: 5.678 7.062 9.867 Å, 90.00 90.00 90.00°
Sites, in units of the cell vectors:
La  0.000  0.258  0.177
La  0.500  0.008  0.000
La  0.000  0.758  0.823
La  0.500  0.508  0.000
Tm  0.500  0.757  0.342
Tm  0.500  0.257  0.658
Tb  0.500  0.258  0.334
Tb  0.500  0.758  0.666
Tb  0.000  0.258  0.833
Tb  0.000  0.758  0.167
Er  0.000  0.507  0.500
Er  0.000  0.007  0.500

- total magnetic moment (μB per formula unit) = 0.000
- calculated formation energy (eV per atom) = 0.068
- total energy (eV/cell) = -55.48



VASP calculation (GGA-PBE) on a relaxed structure of Y3InO.

Cell: 6.578 6.698 6.547 Å, 96.91 75.81 119.40°
Sites, in units of the cell vectors:
Y  0.036  0.754  0.154
Y  0.510  0.187  0.405
Y  0.532  0.748  0.654
Y  0.058  0.315  0.404
Y  0.574  0.315  0.905
Y  0.994  0.187  0.904
O  0.725  0.133  0.654
O  0.843  0.369  0.154
In  0.528  0.740  0.154
In  0.040  0.762  0.654

- total magnetic moment (μB per formula unit) = 0.000
- formation energy from raw total energies (eV/atom) = -1.354
- total energy (eV/cell) = -67.72



VASP calculation (GGA-PBE) on a relaxed structure of CdInAg2S4.

Cell: 5.873 5.874 7.116 Å, 114.37 114.38 90.00°
Sites, in units of the cell vectors:
In  0.986  0.486  0.972
Ag  0.486  0.986  0.972
Ag  0.236  0.236  0.472
Cd  0.736  0.736  0.472
S  0.113  0.118  0.726
S  0.354  0.859  0.218
S  0.864  0.359  0.218
S  0.613  0.608  0.726

- total magnetic moment (μB per formula unit) = 0.000
- formation energy from raw total energies (eV/atom) = -0.318
- total energy (eV/cell) = -28.41



VASP calculation (GGA-PBE) on a relaxed structure of YTmNiPd.

Cell: 4.861 4.861 4.861 Å, 60.00 60.00 60.00°
Sites, in units of the cell vectors:
Ni  0.000  0.000  0.000
Pd  0.500  0.500  0.500
Tm  0.250  0.250  0.250
Y  0.750  0.750  0.750

- total magnetic moment (μB per formula unit) = 0.000
- calculated formation energy (eV per atom) = -0.643
- excess energy over the best structure of this formula in the dataset (meV per atom) = 35
- total energy (eV/cell) = -24.48



VASP calculation (GGA-PBE) on a relaxed structure of MgNiPd2.

Cell: 3.013 4.377 4.377 Å, 90.00 90.00 90.00°
Last column: magnetic moment on the atom in μB.
Sites, in units of the cell vectors:
Ni  0.500  0.500  0.500  0.30
Pd  0.000  0.000  0.500  0.02
Pd  0.000  0.500  0.000  0.02
Mg  0.500  0.000  0.000  0.00

- total magnetic moment (μB per formula unit) = 0.318
- calculated formation energy (eV per atom) = -0.366
- total energy (eV/cell) = -19.23



VASP calculation (GGA-PBE) on a relaxed structure of KDy2PuO6.

Cell: 5.937 5.937 6.256 Å, 61.67 61.67 60.00°
Last column: magnetic moment on the atom in μB.
Sites, in units of the cell vectors:
O  0.595  0.258  0.219  -0.05
O  0.340  0.707  0.764  -0.07
O  0.928  0.595  0.219  -0.05
O  0.707  0.189  0.764  -0.07
O  0.258  0.928  0.219  -0.05
O  0.189  0.340  0.764  -0.07
K  0.785  0.785  0.646  0.00
Dy  0.011  0.011  0.968  0.01
Dy  0.527  0.527  0.418  0.01
Pu  0.321  0.321  0.036  3.37

- total magnetic moment (μB per formula unit) = 3.000
- formation energy from raw total energies (eV/atom) = -2.979
- total energy (eV/cell) = -84.17